TbPrGa2Pt4: optimized geometry, PBE.

extended XYZ file:
```
8
Lattice="-4.114 -0.901 1.311 0.951 0.195 -4.303 2.017 -9.165 0.031" Properties=species:S:1:pos:R:3 pbc="T T T"
Ga -1.910 -2.882 -0.552
Ga -0.926 -7.354 -0.537
Pr 0.000 0.000 0.000
Pt -0.373 -1.827 -2.426
Pt 0.680 -3.093 0.010
Pt 1.336 -6.073 0.021
Pt 0.914 -7.679 -2.406
Tb 0.271 -4.753 -2.416
```

## Properties
* DFT total energy: -47.8 eV/f.u.

NaCu2: optimized geometry, PBE.

extended XYZ file:
```
24
Lattice="-3.961 1.924 2.541 0.694 -5.033 -0.193 9.277 0.746 13.896" Properties=species:S:1:pos:R:3 pbc="T T T"
Cu -1.980 0.962 1.271
Cu 0.347 -2.516 -0.097
Cu -1.633 -1.554 1.174
Cu 0.294 -2.621 2.443
Cu 1.889 -1.176 3.835
Cu 2.234 -3.682 3.738
Cu 0.262 -2.724 5.003
Cu 2.630 -2.434 5.941
Cu 2.658 1.335 8.218
Cu 4.986 -2.144 6.851
Cu 3.005 -1.182 8.122
Cu 3.381 0.070 10.302
Cu 5.748 0.361 11.240
Cu 3.776 1.319 12.505
Cu 4.122 -1.187 12.409
Cu 5.716 0.258 13.801
Na 0.872 0.070 1.306
Na -0.962 -0.279 3.798
Na 0.782 -0.139 6.409
Na 3.767 0.303 5.642
Na 5.510 0.443 8.254
Na 5.229 -2.225 9.834
Na 6.972 -2.085 12.445
Na 8.405 0.676 12.590
```

## Properties
* DFT total energy: -8.4 eV/f.u.

Question: Among the records above, which one has the lowest DFT total energy?
Answer: TbPrGa2Pt4

Question: What is the DFT total energy in the first record?
Answer: -47.8 eV/f.u.

Question: Which value of DFT total energy does entry 1 give?
Answer: -47.8 eV/f.u.

Question: Among the records above, which one has the lowest DFT total energy?
Answer: TbPrGa2Pt4